Tl2ReI4Br2: optimized geometry, GGA-PBE.

The raw formation energy is -34.4 kJ/mol of atoms. The value obtained for the magnetization is 0.33 μB/atom.

The space group is C2/m (No. 12) and the conventional cell measures 13.172, 8.003 and 8.055 Å, with angles of 90.00, 127.22 and 90.00 degrees. The distinct sites, in fractional coordinates, are Tl at (0.248, 0.000, 0.240), Re at (0.000, 0.000, 0.500), I at (0.038, 0.241, 0.301) and Br at (0.235, 0.000, 0.799).

=====

LiHfCuF6: optimized geometry, GGA-PBE.

The raw formation energy is -284.1 kJ/mol of atoms. The value obtained for the magnetization is 0.01 μB/atom.

The space group is P-31c (No. 163) and the conventional cell measures 5.3517, 5.3517 and 9.4848 Å, with angles of 90.00, 90.00 and 120.00 degrees. The distinct sites, in fractional coordinates, are Li at (0.3333, 0.6667, 0.2500), Hf at (0.3333, 0.6667, 0.7500), Cu at (0.0000, 0.0000, 0.0000) and F at (0.0074, 0.3597, 0.6353).

=====

YRhI2: optimized geometry, GGA-PBE.

The value obtained for the density of states at the Fermi level is 0.0000 states/eV/atom. The value obtained for the excess energy over the best structure of this formula in the dataset is 0.00 kJ per mole of atoms. The raw formation energy is -26.4 kJ/mol of atoms. The value obtained for the magnetization is 0.00 μB/atom.

The space group is I-42d (No. 122) and the conventional cell measures 5.240, 5.240 and 17.286 Å, with angles of 90.00, 90.00 and 90.00 degrees. The distinct sites, in fractional coordinates, are Y at (0.000, 0.000, 0.000), Rh at (0.000, 0.000, 0.500) and I at (0.217, 0.250, 0.625).

=====

GdDy2Pb: optimized geometry, GGA-PBE.

The value obtained for the density of states at the Fermi level is 1.3618 states/eV/atom. The value obtained for the excess energy over the best structure of this formula in the dataset is 0.00 kJ per mole of atoms. Its formation energy is -0.299 eV/atom. The value obtained for the magnetization is 1.95 μB/atom.

The space group is P4/mmm (No. 123) and the conventional cell measures 4.894, 4.894 and 4.823 Å, with angles of 90.00, 90.00 and 90.00 degrees. The distinct sites, in fractional coordinates, are Gd at (0.000, 0.000, 0.000), Dy at (0.000, 0.500, 0.500) and Pb at (0.500, 0.500, 0.000).

=====

InBiSe2Br: optimized geometry, GGA-PBE.

The value obtained for the density of states at the Fermi level is 0.3093 states/eV/atom. The value obtained for the excess energy over the best structure of this formula in the dataset is 0.00 kJ per mole of atoms. The raw formation energy is -41.9 kJ/mol of atoms. The value obtained for the magnetization is 0.00 μB/atom.

The space group is P2_1/m (No. 11) and the conventional cell measures 7.560, 4.953 and 10.865 Å, with angles of 90.00, 106.68 and 90.00 degrees. The distinct sites, in fractional coordinates, are In at (0.035, 0.250, 0.156), Bi at (0.493, 0.750, 0.331), Se at (0.157, 0.750, 0.115), Se at (0.338, 0.250, 0.390) and Br at (0.248, 0.750, 0.746).

=====

Sc2SiAu: optimized geometry, GGA-PBE.

The value obtained for the density of states at the Fermi level is 1.0109 states/eV/atom. The raw formation energy is -48.0 kJ/mol of atoms. The value obtained for the magnetization is 0.00 μB/atom.

The space group is R3m (No. 160, hexagonal axes) and the conventional cell measures 4.2830, 4.2830 and 15.6305 Å, with angles of 90.00, 90.00 and 120.00 degrees. The distinct sites, in fractional coordinates, are Sc at (0.0000, 0.0000, 0.0000), Sc at (0.0000, 0.0000, 0.2039), Si at (0.0000, 0.0000, 0.7961) and Au at (0.0000, 0.0000, 0.4062).

=====

Te2MoRu: optimized geometry, GGA-PBE.

The value obtained for the density of states at the Fermi level is 1.1109 states/eV/atom. The value obtained for the excess energy over the best structure of this formula in the dataset is 72.38 kJ per mole of atoms. The raw formation energy is 76.0 kJ/mol of atoms. The value obtained for the magnetization is 0.00 μB/atom.

The space group is Pmmm (No. 47) and the conventional cell measures 3.309, 4.323 and 5.553 Å, with angles of 90.00, 90.00 and 90.00 degrees. The distinct sites, in fractional coordinates, are Te at (0.000, 0.000, 0.000), Te at (0.500, 0.000, 0.500), Mo at (0.000, 0.500, 0.500) and Ru at (0.500, 0.500, 0.000).

=====

CsRb2ZnBi2: optimized geometry, GGA-PBE.

The value obtained for the density of states at the Fermi level is 1.0886 states/eV/atom. Its formation energy is -0.230 eV/atom. The value obtained for the magnetization is 0.00 μB/atom.

The space group is Ibam (No. 72) and the conventional cell measures 9.886, 15.091 and 7.643 Å, with angles of 90.00, 90.00 and 90.00 degrees. The distinct sites, in fractional coordinates, are Cs at (0.000, 0.000, 0.250), Rb at (0.172, 0.323, 0.000), Zn at (0.000, 0.500, 0.250) and Bi at (0.175, 0.414, 0.500).

=====

Y8HoSc2: optimized geometry, GGA-PBE.

The value obtained for the density of states at the Fermi level is 1.6484 states/eV/atom. The value obtained for the excess energy over the best structure of this formula in the dataset is 0.00 kJ per mole of atoms. Its formation energy is 0.176 eV/atom. The value obtained for the magnetization is 0.00 μB/atom.

The space group is C2/m (No. 12) and the conventional cell measures 8.886, 15.790 and 5.772 Å, with angles of 90.00, 121.92 and 90.00 degrees. The distinct sites, in fractional coordinates, are Y at (0.000, 0.209, 0.000), Y at (0.077, 0.500, 0.793), Y at (0.215, 0.119, 0.666), Ho at (0.000, 0.000, 0.000) and Sc at (0.000, 0.309, 0.500).

=====

LiThP2O8: optimized geometry, GGA-PBE.

The value obtained for the density of states at the Fermi level is 0.5142 states/eV/atom. The raw formation energy is -239.7 kJ/mol of atoms. The value obtained for the magnetization is 0.08 μB/atom.

The space group is P-3m1 (No. 164) and the conventional cell measures 5.1535, 5.1535 and 6.7834 Å, with angles of 90.00, 90.00 and 120.00 degrees. The distinct sites, in fractional coordinates, are Li at (0.0000, 0.0000, 0.0000), Th at (0.0000, 0.0000, 0.5000), P at (0.3333, 0.6667, 0.7148), O at (0.1689, 0.3379, 0.7844) and O at (0.3333, 0.6667, 0.4850).

=====

PuPa3H: optimized geometry, GGA-PBE.

The value obtained for the density of states at the Fermi level is 1.5602 states/eV/atom. For the total energy, the calculation gives -9.246 eV per atom. The value obtained for the magnetization is 0.91 μB/atom.

The space group is Pm-3m (No. 221) and the conventional cell measures 4.703, 4.703 and 4.703 Å, with angles of 90.00, 90.00 and 90.00 degrees. The distinct sites, in fractional coordinates, are Pu at (0.000, 0.000, 0.000), Pa at (0.000, 0.500, 0.500) and H at (0.500, 0.500, 0.500).

=====

LaZn2InSn: optimized geometry, GGA-PBE.

The value obtained for the density of states at the Fermi level is 0.5358 states/eV/atom. Its formation energy is 0.202 eV/atom. The value obtained for the magnetization is 0.00 μB/atom.

The space group is P4/mmm (No. 123) and the conventional cell measures 4.970, 4.970 and 6.166 Å, with angles of 90.00, 90.00 and 90.00 degrees. The distinct sites, in fractional coordinates, are La at (0.000, 0.000, 0.000), Zn at (0.000, 0.500, 0.500), In at (0.000, 0.000, 0.500) and Sn at (0.500, 0.500, 0.000).